No. 1
Here is a relaxed structure of Li2LuSc from Alexandria via LeMat-Bulk. Energies are from PBE-GGA.

The structure in POSCAR format:
```
Li2LuSc
1.0
0.000 3.555 3.555
3.555 0.000 3.555
3.555 3.555 0.000
Li Lu Sc
2 1 1
direct
0.250 0.250 0.250
0.750 0.750 0.750
0.000 0.000 0.000
0.500 0.500 0.500
```

calculated total energy: -13.91 eV/cell
energy above the most stable polymorph in this dataset: 0.02 eV/f.u.
magnetic moment: 0.00 μB per formula unit
energy of formation from the pure elements: 0.194 eV per atom
density of states at the Fermi level: 3.79 states/eV/cell


No. 2
Here is a relaxed structure of LiLuScSn from Alexandria via LeMat-Bulk. Energies are from PBE-GGA.

The structure in POSCAR format:
```
LiLuScSn
1.0
0.000 3.548 3.548
3.548 0.000 3.548
3.548 3.548 0.000
Li Lu Sc Sn
1 1 1 1
direct
0.000 0.000 0.000
0.250 0.250 0.250
0.750 0.750 0.750
0.500 0.500 0.500
```

calculated total energy: -18.22 eV/cell
magnetic moment: 0.00 μB per formula unit
energy of formation from the pure elements: -0.364 eV per atom
density of states at the Fermi level: 3.59 states/eV/cell